No. 1
DFT (GGA-PBE) results for a geometry-optimized NaPmGaPb structure. Values from VASP.

Geometry as Quantum ESPRESSO input:
```
&SYSTEM
  ibrav = 0, nat = 4, ntyp = 4
/
ATOMIC_SPECIES
Pb 207.20 Pb.upf
Na 22.99 Na.upf
Ga 69.72 Ga.upf
Pm 145.00 Pm.upf
CELL_PARAMETERS angstrom
5.3161 0.0000 0.0000
2.6580 4.6039 0.0000
2.6580 1.5346 4.3406
ATOMIC_POSITIONS crystal
Pb 0.7500 0.7500 0.7500
Na 0.0000 0.0000 0.0000
Ga 0.2500 0.2500 0.2500
Pm 0.5000 0.5000 0.5000
```

Calculated values
Volume (Å³ per cell): 106
M_tot (μB per cell): 0.000
ρ (Mg/m³): 6.95
Energy relative to the elements (eV/atom): -0.264
Uncorrected energy (eV per atom): -3.47



No. 2
DFT (GGA-PBE) results for a geometry-optimized Na2UTe4Pb structure. Values from VASP.

Geometry as Quantum ESPRESSO input:
```
&SYSTEM
  ibrav = 0, nat = 8, ntyp = 4
/
ATOMIC_SPECIES
Na 22.99 Na.upf
U 238.03 U.upf
Te 127.60 Te.upf
Pb 207.20 Pb.upf
CELL_PARAMETERS angstrom
4.5346 0.0000 0.0000
0.0000 7.9671 0.1816
0.0000 -2.7335 7.3844
ATOMIC_POSITIONS crystal
Na 0.5000 0.0000 0.5000
Na 0.0000 0.5000 0.5000
U 0.5000 0.5000 0.0000
Te 0.5000 0.2654 0.2375
Te 0.5000 0.7346 0.7625
Te 0.0000 0.2690 0.7678
Te 0.0000 0.7310 0.2322
Pb 0.0000 0.0000 0.0000
```

Calculated values
Volume (Å³ per cell): 269
Formation energy from raw total energies (meV per atom): -722
M_tot (μB per cell): 2.000
ρ (Mg/m³): 6.18
Uncorrected energy (eV per atom): -4.50



No. 3
DFT (GGA-PBE) results for a geometry-optimized Sc2Be2ZnPd5 structure. Values from VASP.

Geometry as Quantum ESPRESSO input:
```
&SYSTEM
  ibrav = 0, nat = 20, ntyp = 4
/
ATOMIC_SPECIES
Sc 44.96 Sc.upf
Be 9.01 Be.upf
Zn 65.41 Zn.upf
Pd 106.42 Pd.upf
CELL_PARAMETERS angstrom
3.3364 0.0000 0.0000
0.0000 9.3878 0.0000
0.0000 0.0000 9.3878
ATOMIC_POSITIONS crystal
Sc 0.0000 0.6753 0.1753
Sc 0.0000 0.3247 0.8247
Sc 0.0000 0.1753 0.3247
Sc 0.0000 0.8247 0.6753
Be 0.0000 0.1231 0.6231
Be 0.0000 0.8769 0.3769
Be 0.0000 0.6231 0.8769
Be 0.0000 0.3769 0.1231
Zn 0.0000 0.0000 0.0000
Zn 0.0000 0.5000 0.5000
Pd 0.5000 0.2103 0.0704
Pd 0.5000 0.7897 0.9296
Pd 0.5000 0.0704 0.7897
Pd 0.5000 0.7103 0.4296
Pd 0.5000 0.9296 0.2103
Pd 0.5000 0.2897 0.5704
Pd 0.5000 0.5704 0.7103
Pd 0.5000 0.4296 0.2897
Pd 0.5000 0.5000 0.0000
Pd 0.5000 0.0000 0.5000
```

Calculated values
Volume (Å³ per cell): 294
M_tot (μB per cell): 0.000
ρ (Mg/m³): 7.97
Energy relative to the elements (eV/atom): -0.735
Uncorrected energy (eV per atom): -5.47



No. 4
DFT (GGA-PBE) results for a geometry-optimized HoAlBi2O6 structure. Values from VASP.

Geometry as Quantum ESPRESSO input:
```
&SYSTEM
  ibrav = 0, nat = 20, ntyp = 4
/
ATOMIC_SPECIES
Ho 164.93 Ho.upf
Al 26.98 Al.upf
Bi 208.98 Bi.upf
O 16.00 O.upf
CELL_PARAMETERS angstrom
5.5248 0.0000 -0.0330
0.0000 5.8934 0.0000
0.0013 0.0000 8.0391
ATOMIC_POSITIONS crystal
Ho 0.5000 0.0000 0.5000
Ho 0.0000 0.5000 0.0000
Al 0.5000 0.0000 0.0000
Al 0.0000 0.5000 0.5000
Bi 0.0101 0.9547 0.2432
Bi 0.5101 0.5453 0.7432
Bi 0.9899 0.0453 0.7568
Bi 0.4899 0.4547 0.2568
O 0.3291 0.7157 0.0575
O 0.8291 0.7843 0.5575
O 0.6709 0.2843 0.9425
O 0.1709 0.2157 0.4425
O 0.2953 0.6745 0.4547
O 0.7953 0.8255 0.9547
O 0.7047 0.3255 0.5453
O 0.2047 0.1745 0.0453
O 0.8931 0.5384 0.2695
O 0.3931 0.9616 0.7695
O 0.1069 0.4616 0.7305
O 0.6069 0.0384 0.2305
```

Calculated values
Volume (Å³ per cell): 262
Formation energy from raw total energies (meV per atom): -2190
M_tot (μB per cell): 0.000
ρ (Mg/m³): 8.96
Uncorrected energy (eV per atom): -6.77